K2LaCd GGA-PBE optimized geometry; DFT formation energy = 0.40 eV/atom; Fermi-level density of states = 1.934 states/eV per atom; V = 366.7 Å³/cell; total DFT energy (no corrections) = -1.61 eV per atom; size of the total moment = 1.06 Bohr magnetons per cell; mass density = 3.0 g/cm³
1.0
-6.488 -3.727 -7.368
5.114 -9.171 0.136
-2.740 -7.559 -1.247
K Cd La
4 2 2
Cartesian
-3.714 -5.143 -4.460
1.313 -8.310 -1.588
-2.265 -11.053 -3.640
-3.563 -16.407 -7.272
-0.687 -6.449 -3.616
0.843 -11.589 -2.364
0.000 0.000 0.000
-4.958 -8.867 -6.116

KLaCd2 GGA-PBE optimized geometry; energy above the most stable polymorph in this dataset = 97 meV/atom; DFT formation energy = -0.04 eV/atom; Fermi-level density of states = 0.596 states/eV per atom; V = 128.9 Å³/cell; total DFT energy (no corrections) = -2.01 eV per atom; size of the total moment = 0.00 Bohr magnetons per cell; mass density = 5.2 g/cm³
1.0
-2.950 -5.595 -2.912
-2.766 -5.034 3.935
0.089 6.657 -2.039
Cd K La
2 1 1
Cartesian
-5.596 -10.405 1.002
-3.057 -2.492 -2.184
-2.967 -5.515 0.531
-2.584 -1.503 1.171

KLaCd2 GGA-PBE optimized geometry; energy above the most stable polymorph in this dataset = 35 meV/atom; DFT formation energy = -0.11 eV/atom; Fermi-level density of states = 0.962 states/eV per atom; V = 129.7 Å³/cell; total DFT energy (no corrections) = -2.07 eV per atom; size of the total moment = 0.00 Bohr magnetons per cell; mass density = 5.2 g/cm³
1.0
5.831 0.000 0.000
0.000 3.814 0.001
0.000 -0.002 5.833
Cd K La
2 1 1
Cartesian
0.000 0.474 5.133
2.916 0.478 2.157
0.000 2.381 2.208
2.916 2.383 5.085

KLaCd2 GGA-PBE optimized geometry; energy above the most stable polymorph in this dataset = 155 meV/atom; DFT formation energy = 0.01 eV/atom; Fermi-level density of states = 0.952 states/eV per atom; V = 138.8 Å³/cell; total DFT energy (no corrections) = -1.95 eV per atom; size of the total moment = 0.00 Bohr magnetons per cell; mass density = 4.8 g/cm³
1.0
3.726 0.000 0.000
0.000 3.726 0.000
0.000 0.000 10.001
Cd K La
2 1 1
Cartesian
0.000 0.000 0.322
1.863 1.863 1.941
0.000 0.000 4.504
1.863 1.863 8.234

Which value of size of the total moment does entry 4 give?
0.00 Bohr magnetons per cell

What did the third record say?
KLaCd2 GGA-PBE optimized geometry; energy above the most stable polymorph in this dataset = 35 meV/atom; DFT formation energy = -0.11 eV/atom; Fermi-level density of states = 0.962 states/eV per atom; V = 129.7 Å³/cell; total DFT energy (no corrections) = -2.07 eV per atom; size of the total moment = 0.00 Bohr magnetons per cell; mass density = 5.2 g/cm³
1.0
5.831 0.000 0.000
0.000 3.814 0.001
0.000 -0.002 5.833
Cd K La
2 1 1
Cartesian
0.000 0.474 5.133
2.916 0.478 2.157
0.000 2.381 2.208
2.916 2.383 5.085